No. 1
{"formula": "KSr2Mg", "functional": "PBE-GGA", "state": "optimized geometry", "sg": "No. 8", "mass_density_kg_m3": 2050, "ef_ev_per_atom": 0.1242, "cell": [[7.6417, -2.1028, 0.0000], [7.6417, 2.1028, 0.0000], [-2.8319, 0.0000, 6.0136]], "species": ["K", "Sr", "Sr", "Mg"], "frac_coords": [[0.0000, 0.0000, 0.0000], [0.5735, 0.5735, 0.5726], [0.7864, 0.7864, 0.2846], [0.2802, 0.2802, 0.7778]]}

=====

No. 2
{"formula": "NdU2S4", "functional": "PBE-GGA", "state": "optimized geometry", "sg": "No. 63", "formation_energy_uncorrected_ev_per_fu": -10.853, "mass_density_kg_m3": 7551, "cell": [[1.9117, -6.5072, 0.0000], [1.9117, 6.5072, 0.0000], [0.0000, 0.0000, 13.2337]], "species": ["Nd", "Nd", "U", "U", "U", "U", "S", "S", "S", "S", "S", "S", "S", "S"], "frac_coords": [[0.1169, 0.8831, 0.7500], [0.8831, 0.1169, 0.2500], [0.3653, 0.6347, 0.5641], [0.3653, 0.6347, 0.9359], [0.6347, 0.3653, 0.0641], [0.6347, 0.3653, 0.4359], [0.0000, 0.0000, 0.0000], [0.0000, 0.0000, 0.5000], [0.2747, 0.7253, 0.1243], [0.2747, 0.7253, 0.3757], [0.4542, 0.5458, 0.7500], [0.5458, 0.4542, 0.2500], [0.7253, 0.2747, 0.6243], [0.7253, 0.2747, 0.8757]]}

=====

No. 3
{"formula": "NiMoOs2", "functional": "PBE-GGA", "state": "optimized geometry", "sg": "No. 12", "mass_density_kg_m3": 15814, "ef_ev_per_atom": 0.0885, "de_polymorph_ev_per_atom": 0.051, "cell": [[4.3806, -1.3661, 0.0000], [4.3806, 1.3661, 0.0000], [-0.7851, 0.0000, 4.6946]], "species": ["Ni", "Mo", "Os", "Os"], "frac_coords": [[0.0000, 0.0000, 0.0000], [0.5000, 0.5000, 0.5000], [0.2516, 0.2516, 0.7681], [0.7484, 0.7484, 0.2319]]}

=====

No. 4
{"formula": "Li4TeW", "functional": "PBE-GGA", "state": "optimized geometry", "sg": "No. 216", "formation_energy_uncorrected_ev_per_fu": 2.674, "mass_density_kg_m3": 6043, "cell": [[0.0000, 3.5988, 3.5988], [3.5988, 0.0000, 3.5988], [3.5988, 3.5988, 0.0000]], "species": ["Li", "Li", "Li", "Li", "Te", "W"], "frac_coords": [[0.3772, 0.3772, 0.3772], [0.3772, 0.3772, 0.8683], [0.3772, 0.8683, 0.3772], [0.8683, 0.3772, 0.3772], [0.0000, 0.0000, 0.0000], [0.7500, 0.7500, 0.7500]]}

=====

No. 5
{"formula": "BaScCr2", "functional": "PBE-GGA", "state": "optimized geometry", "sg": "No. 122", "mass_density_kg_m3": 4388, "ef_ev_per_atom": 1.0668, "de_polymorph_ev_per_atom": 0.538, "cell": [[-4.1096, 4.1096, 3.2070], [4.1096, -4.1096, 3.2070], [4.1096, 4.1096, -3.2070]], "species": ["Ba", "Ba", "Sc", "Sc", "Cr", "Cr", "Cr", "Cr"], "frac_coords": [[0.0000, 0.0000, 0.0000], [0.7500, 0.2500, 0.5000], [0.2500, 0.7500, 0.5000], [0.5000, 0.5000, 0.0000], [0.1565, 0.6250, 0.0315], [0.3750, 0.4065, 0.5315], [0.5935, 0.1250, 0.9685], [0.8750, 0.8435, 0.4685]]}

=====

No. 6
{"formula": "PuTi2Pt", "functional": "PBE-GGA", "state": "optimized geometry", "sg": "No. 123", "mass_density_kg_m3": 12408, "ef_ev_per_atom": -0.3892, "de_polymorph_ev_per_atom": 0.005, "cell": [[3.1553, 0.0000, 0.0000], [0.0000, 3.1553, 0.0000], [0.0000, 0.0000, 7.1886]], "species": ["Pu", "Ti", "Ti", "Pt"], "frac_coords": [[0.0000, 0.0000, 0.0000], [0.5000, 0.5000, 0.2773], [0.5000, 0.5000, 0.7227], [0.0000, 0.0000, 0.5000]]}

=====

No. 7
{"formula": "GeSb2TeBr", "functional": "PBE-GGA", "state": "optimized geometry", "sg": "No. 123", "formation_energy_uncorrected_ev_per_fu": 4.995, "mass_density_kg_m3": 5088, "de_polymorph_ev_per_atom": 0.478, "cell": [[5.4595, 0.0000, 0.0000], [0.0000, 5.4595, 0.0000], [0.0000, 0.0000, 5.7335]], "species": ["Ge", "Sb", "Sb", "Te", "Br"], "frac_coords": [[0.0000, 0.0000, 0.0000], [0.0000, 0.5000, 0.5000], [0.5000, 0.0000, 0.5000], [0.5000, 0.5000, 0.0000], [0.5000, 0.5000, 0.5000]]}

=====

No. 8
{"formula": "TbTaC2", "functional": "PBE-GGA", "state": "optimized geometry", "sg": "No. 160", "mass_density_kg_m3": 11097, "ef_ev_per_atom": -0.2232, "de_polymorph_ev_per_atom": 0.241, "cell": [[1.6375, 0.9454, 5.8620], [-1.6375, 0.9454, 5.8620], [0.0000, -1.8909, 5.8620]], "species": ["Tb", "Ta", "C", "C"], "frac_coords": [[0.0000, 0.0000, 0.0000], [0.1739, 0.1739, 0.1739], [0.5764, 0.5764, 0.5764], [0.7688, 0.7688, 0.7688]]}

=====

Q: Which calculated volume values were calculated for the entries above? A: 193.3; 329.2; 56.2; 93.2; 216.7; 71.6; 170.9; 54.5, in Å³/cell.